This record from Alexandria via LeMat-Bulk describes a relaxed structure of FeTeO. The functional is PBE+U.

DOS at the Fermi energy	2.564	states/eV/cell
E_tot	-31.10	eV/cell

Geometry as CIF:
```
data_FeTeO
_chemical_formula_sum 'Fe2 Te2 O2'
_cell_length_a 5.845
_cell_length_b 3.180
_cell_length_c 6.786
_cell_angle_alpha 90.00
_cell_angle_beta 90.98
_cell_angle_gamma 90.00
_space_group_name_H-M_alt 'C 1 m 1'
_space_group_IT_number 8
loop_
_space_group_symop_operation_xyz
'x,y,z'
'x,-y,z'
'x+1/2,y+1/2,z'
'x+1/2,-y+1/2,z'
loop_
_atom_site_label
_atom_site_type_symbol
_atom_site_fract_x
_atom_site_fract_y
_atom_site_fract_z
Fe1 Fe 0.000 0.000 0.000
Te1 Te 0.131 0.500 0.391
O1 O 0.323 0.000 0.931
```